# 1
This record from Alexandria describes a relaxed structure of Ac5Tb2Pr6. The functional is PBE-GGA.

Output
The formation energy comes out at 0.09 eV/atom. For the total energy, the calculation gives -4.411 eV per atom. As for the space-group type: No. 55.

a b c (Å): 3.825 12.113 22.121
angles (deg): 90.00 90.00 90.00
Fractional coordinates of all 26 atoms:
1 Pr 0.000 0.584 0.436
2 Pr 0.000 0.059 0.357
3 Ac 0.500 0.449 0.712
4 Pr 0.500 0.813 0.369
5 Ac 0.500 0.000 0.500
6 Tb 0.000 0.792 0.231
7 Pr 0.500 0.187 0.631
8 Ac 0.500 0.692 0.577
9 Pr 0.000 0.916 0.936
10 Pr 0.500 0.313 0.131
11 Ac 0.500 0.500 0.000
12 Pr 0.000 0.441 0.857
13 Ac 0.500 0.051 0.212
14 Pr 0.500 0.687 0.869
15 Tb 0.000 0.708 0.731
16 Tb 0.000 0.292 0.269
17 Pr 0.000 0.559 0.143
18 Ac 0.500 0.308 0.423
19 Ac 0.500 0.949 0.788
20 Tb 0.000 0.208 0.769
21 Ac 0.500 0.551 0.288
22 Pr 0.000 0.941 0.643
23 Pr 0.000 0.416 0.564
24 Ac 0.500 0.808 0.077
25 Ac 0.500 0.192 0.923
26 Pr 0.000 0.084 0.064

# 2
This record from Alexandria describes a relaxed structure of Tl2HgSb2. The functional is PBE-GGA.

Output
For the total energy, the calculation gives -2.630 eV per atom. As for the space-group type: No. 12. The calculation puts the energy relative to the lowest polymorph listed for this composition at 0.011 eV per atom. The value obtained for the uncorrected formation energy is 0.026 eV per atom.

a b c (Å): 5.372 6.484 10.275
angles (deg): 79.96 74.85 65.53
Fractional coordinates of all 10 atoms:
1 Hg 0.223 0.922 0.631
2 Tl 0.676 0.725 0.923
3 Sb 0.973 0.168 0.885
4 Sb 0.138 0.316 0.409
5 Sb 0.027 0.832 0.115
6 Tl 0.502 0.315 0.682
7 Tl 0.324 0.275 0.077
8 Hg 0.777 0.078 0.369
9 Sb 0.862 0.684 0.591
10 Tl 0.498 0.685 0.318